No. 1
Material: KCa2ZrTi
Method: DFT, GGA-PBE
State: relaxed

The calculation puts the total energy at -2.8233 eV/atom. As for the size of the total moment: 0.64 μB/f.u. For the energy relative to the elements, the calculation gives 1485 meV per atom. The value obtained for the density is 2.448 g/cm³.

The space group is P4/mmm (No. 123) and the conventional cell measures 5.5991, 5.5991 and 5.5909 Å, with angles of 90.00, 90.00 and 90.00 degrees. The distinct sites, in fractional coordinates, are K at (0.0000, 0.0000, 0.0000), Ca at (0.0000, 0.5000, 0.5000), Zr at (0.5000, 0.5000, 0.0000) and Ti at (0.0000, 0.0000, 0.5000).


No. 2
Material: Er4TlFe
Method: DFT, GGA-PBE
State: relaxed

The calculation puts the total energy at -5.0177 eV/atom. As for the size of the total moment: 0.00 μB/f.u. For the energy relative to the elements, the calculation gives -171 meV per atom. The value obtained for the density is 9.757 g/cm³.

The space group is C2/c (No. 15) and the conventional cell measures 8.6685, 12.7029 and 5.9980 Å, with angles of 90.00, 106.70 and 90.00 degrees. The distinct sites, in fractional coordinates, are Er at (0.1064, 0.1625, 0.0450), Er at (0.2257, 0.4231, 0.3922), Tl at (0.0000, 0.3734, 0.7500) and Fe at (0.0000, 0.0007, 0.2500).


No. 3
Material: NiP
Method: DFT, GGA-PBE
State: relaxed

The calculation puts the total energy at -5.6727 eV/atom. As for the size of the total moment: 0.00 μB/f.u. For the energy relative to the elements, the calculation gives -77 meV per atom. The value obtained for the density is 5.188 g/cm³.

The space group is Pmma (No. 51) and the conventional cell measures 3.8263, 2.5908 and 5.7897 Å, with angles of 90.00, 90.00 and 90.00 degrees. The distinct sites, in fractional coordinates, are Ni at (0.2500, 0.0000, 0.1342) and P at (0.2500, 0.5000, 0.7743).